## BeRe2As (GGA-PBE)

Data for a relaxed BeRe2As crystal.

Summary:
- symmetry = Pm
- energy relative to the elements (eV/atom) = 0.202
- excess energy over the best structure of this formula in the dataset (kJ/mol of formula units) = 93

Structure (CIF):
```
data_BeRe2As
_chemical_formula_sum 'Be1 Re2 As1'
_symmetry_space_group_name_H-M 'P 1'
_symmetry_Int_Tables_number 1
_cell_length_a 4.238
_cell_length_b 2.916
_cell_length_c 4.472
_cell_angle_alpha 90.04
_cell_angle_beta 90.00
_cell_angle_gamma 90.00
loop_
_symmetry_equiv_pos_as_xyz
'x,y,z'
loop_
_atom_site_label
_atom_site_type_symbol
_atom_site_fract_x
_atom_site_fract_y
_atom_site_fract_z
Re1 Re 0.000 0.875 0.016
Re2 Re 0.500 0.373 0.218
As1 As 0.000 0.374 0.566
Be1 Be 0.500 0.878 0.701
```

---

## YCu2Si2 (GGA-PBE)

Data for a relaxed YCu2Si2 crystal.

Summary:
- symmetry = C2/m
- energy relative to the elements, uncorrected (eV per atom) = -0.599

Structure (CIF):
```
data_YCu2Si2
_chemical_formula_sum 'Y1 Cu2 Si2'
_symmetry_space_group_name_H-M 'P 1'
_symmetry_Int_Tables_number 1
_cell_length_a 3.993
_cell_length_b 3.993
_cell_length_c 5.729
_cell_angle_alpha 110.59
_cell_angle_beta 110.59
_cell_angle_gamma 89.95
loop_
_symmetry_equiv_pos_as_xyz
'x,y,z'
loop_
_atom_site_label
_atom_site_type_symbol
_atom_site_fract_x
_atom_site_fract_y
_atom_site_fract_z
Y1 Y 0.000 0.000 0.000
Si1 Si 0.619 0.619 0.237
Si2 Si 0.381 0.381 0.763
Cu1 Cu 0.749 0.251 0.500
Cu2 Cu 0.251 0.749 0.500
```

---

## Sr2Al6Ir (GGA-PBE)

Data for a relaxed Sr2Al6Ir crystal.

Summary:
- symmetry = P-3m1
- energy relative to the elements (eV/atom) = -0.360

Structure (CIF):
```
data_Sr2Al6Ir
_chemical_formula_sum 'Sr2 Al6 Ir1'
_symmetry_space_group_name_H-M 'P 1'
_symmetry_Int_Tables_number 1
_cell_length_a 5.995
_cell_length_b 6.032
_cell_length_c 6.032
_cell_angle_alpha 60.01
_cell_angle_beta 90.00
_cell_angle_gamma 90.00
loop_
_symmetry_equiv_pos_as_xyz
'x,y,z'
loop_
_atom_site_label
_atom_site_type_symbol
_atom_site_fract_x
_atom_site_fract_y
_atom_site_fract_z
Sr1 Sr 0.847 0.667 0.667
Sr2 Sr 0.153 0.333 0.333
Al1 Al 0.323 0.330 0.835
Al2 Al 0.323 0.835 0.835
Al3 Al 0.323 0.835 0.330
Al4 Al 0.677 0.670 0.165
Al5 Al 0.677 0.165 0.165
Al6 Al 0.677 0.165 0.670
Ir1 Ir 0.000 0.000 0.000
```

---

## Ba3Pm3MgSe8 (GGA-PBE)

Data for a relaxed Ba3Pm3MgSe8 crystal.

Summary:
- symmetry = R-3m
- energy relative to the elements, uncorrected (eV per atom) = -1.822

Structure (CIF):
```
data_Ba3Pm3MgSe8
_chemical_formula_sum 'Ba3 Pm3 Mg1 Se8'
_symmetry_space_group_name_H-M 'P 1'
_symmetry_Int_Tables_number 1
_cell_length_a 8.584
_cell_length_b 8.586
_cell_length_c 9.018
_cell_angle_alpha 118.45
_cell_angle_beta 89.98
_cell_angle_gamma 120.01
loop_
_symmetry_equiv_pos_as_xyz
'x,y,z'
loop_
_atom_site_label
_atom_site_type_symbol
_atom_site_fract_x
_atom_site_fract_y
_atom_site_fract_z
Ba1 Ba 0.000 0.000 0.000
Ba2 Ba 0.000 0.500 0.000
Ba3 Ba 0.500 0.500 0.000
Pm1 Pm 0.500 0.000 0.500
Pm2 Pm 0.500 0.500 0.500
Pm3 Pm 0.000 0.500 0.500
Mg1 Mg 0.000 0.000 0.500
Se1 Se 0.260 0.519 0.279
Se2 Se 0.740 0.481 0.721
Se3 Se 0.768 0.537 0.291
Se4 Se 0.232 0.463 0.709
Se5 Se 0.768 0.022 0.291
Se6 Se 0.232 0.978 0.709
Se7 Se 0.254 0.022 0.291
Se8 Se 0.746 0.978 0.709
```

---

## CrGe2Te8 (GGA-PBE)

Data for a relaxed CrGe2Te8 crystal.

Summary:
- symmetry = C2/m
- energy relative to the elements, uncorrected (eV per atom) = 0.028

Structure (CIF):
```
data_CrGe2Te8
_chemical_formula_sum 'Cr1 Ge2 Te8'
_symmetry_space_group_name_H-M 'P 1'
_symmetry_Int_Tables_number 1
_cell_length_a 6.160
_cell_length_b 7.904
_cell_length_c 7.904
_cell_angle_alpha 63.82
_cell_angle_beta 81.30
_cell_angle_gamma 81.30
loop_
_symmetry_equiv_pos_as_xyz
'x,y,z'
loop_
_atom_site_label
_atom_site_type_symbol
_atom_site_fract_x
_atom_site_fract_y
_atom_site_fract_z
Cr1 Cr 0.000 0.000 0.000
Ge1 Ge 0.608 0.813 0.813
Ge2 Ge 0.392 0.187 0.187
Te1 Te 0.273 0.289 0.830
Te2 Te 0.727 0.170 0.711
Te3 Te 0.188 0.806 0.806
Te4 Te 0.812 0.194 0.194
Te5 Te 0.273 0.830 0.289
Te6 Te 0.727 0.711 0.170
Te7 Te 0.804 0.624 0.624
Te8 Te 0.196 0.376 0.376
```

---

## MgMn2Tl (GGA-PBE)

Data for a relaxed MgMn2Tl crystal.

Summary:
- symmetry = Pm
- energy relative to the elements (eV/atom) = 0.342

Structure (CIF):
```
data_MgMn2Tl
_chemical_formula_sum 'Mg1 Mn2 Tl1'
_symmetry_space_group_name_H-M 'P 1'
_symmetry_Int_Tables_number 1
_cell_length_a 3.151
_cell_length_b 3.175
_cell_length_c 8.185
_cell_angle_alpha 67.25
_cell_angle_beta 90.00
_cell_angle_gamma 90.00
loop_
_symmetry_equiv_pos_as_xyz
'x,y,z'
loop_
_atom_site_label
_atom_site_type_symbol
_atom_site_fract_x
_atom_site_fract_y
_atom_site_fract_z
Mg1 Mg 0.500 0.716 0.784
Mn1 Mn 0.000 0.980 0.019
Mn2 Mn 0.500 0.282 0.218
Tl1 Tl 0.000 0.521 0.479
```

---

## Fe2S (GGA-PBE)

Data for a relaxed Fe2S crystal.

Summary:
- symmetry = Cm
- energy relative to the elements, uncorrected (eV per atom) = -0.013

Structure (CIF):
```
data_Fe2S
_chemical_formula_sum 'Fe14 S7'
_symmetry_space_group_name_H-M 'P 1'
_symmetry_Int_Tables_number 1
_cell_length_a 5.159
_cell_length_b 5.159
_cell_length_c 17.738
_cell_angle_alpha 83.14
_cell_angle_beta 83.14
_cell_angle_gamma 33.53
loop_
_symmetry_equiv_pos_as_xyz
'x,y,z'
loop_
_atom_site_label
_atom_site_type_symbol
_atom_site_fract_x
_atom_site_fract_y
_atom_site_fract_z
Fe1 Fe 0.464 0.464 0.147
Fe2 Fe 0.295 0.295 0.056
Fe3 Fe 0.041 0.041 0.380
Fe4 Fe 0.899 0.899 0.259
Fe5 Fe 0.323 0.323 0.410
Fe6 Fe 0.612 0.612 0.249
Fe7 Fe 0.746 0.746 0.553
Fe8 Fe 0.462 0.462 0.522
Fe9 Fe 0.166 0.166 0.698
Fe10 Fe 0.880 0.880 0.667
Fe11 Fe 0.583 0.583 0.840
Fe12 Fe 0.301 0.301 0.813
Fe13 Fe 0.008 0.008 0.987
Fe14 Fe 0.732 0.732 0.941
S1 S 0.631 0.631 0.057
S2 S 0.246 0.246 0.185
S3 S 0.717 0.717 0.347
S4 S 0.131 0.131 0.491
S5 S 0.551 0.551 0.634
S6 S 0.971 0.971 0.779
S7 S 0.395 0.395 0.927
```

---

## Li3GaSb2 (GGA-PBE)

Data for a relaxed Li3GaSb2 crystal.

Summary:
- symmetry = Ibam
- energy relative to the elements, uncorrected (eV per atom) = -0.331

Structure (CIF):
```
data_Li3GaSb2
_chemical_formula_sum 'Li6 Ga2 Sb4'
_symmetry_space_group_name_H-M 'P 1'
_symmetry_Int_Tables_number 1
_cell_length_a 6.500
_cell_length_b 7.235
_cell_length_c 8.115
_cell_angle_alpha 116.47
_cell_angle_beta 113.61
_cell_angle_gamma 90.00
loop_
_symmetry_equiv_pos_as_xyz
'x,y,z'
loop_
_atom_site_label
_atom_site_type_symbol
_atom_site_fract_x
_atom_site_fract_y
_atom_site_fract_z
Li1 Li 0.500 0.250 0.000
Li2 Li 0.500 0.750 0.000
Li3 Li 0.765 0.015 0.531
Li4 Li 0.235 0.485 0.469
Li5 Li 0.235 0.985 0.469
Li6 Li 0.765 0.515 0.531
Ga1 Ga 0.000 0.500 0.000
Ga2 Ga 0.000 0.000 0.000
Sb1 Sb 0.590 0.364 0.727
Sb2 Sb 0.862 0.136 0.273
Sb3 Sb 0.138 0.864 0.727
Sb4 Sb 0.410 0.636 0.273
```

---

## CaTe2Rh (GGA-PBE)

Data for a relaxed CaTe2Rh crystal.

Summary:
- symmetry = P4mm
- excess energy over the best structure of this formula in the dataset (kJ/mol of formula units) = 88
- energy relative to the elements, uncorrected (eV per atom) = -0.585

Structure (CIF):
```
data_CaTe2Rh
_chemical_formula_sum 'Ca1 Te2 Rh1'
_symmetry_space_group_name_H-M 'P 1'
_symmetry_Int_Tables_number 1
_cell_length_a 4.047
_cell_length_b 4.049
_cell_length_c 6.161
_cell_angle_alpha 90.00
_cell_angle_beta 90.00
_cell_angle_gamma 90.00
loop_
_symmetry_equiv_pos_as_xyz
'x,y,z'
loop_
_atom_site_label
_atom_site_type_symbol
_atom_site_fract_x
_atom_site_fract_y
_atom_site_fract_z
Ca1 Ca 0.000 0.000 0.438
Te1 Te 0.000 0.000 0.920
Te2 Te 0.500 0.500 0.294
Rh1 Rh 0.500 0.500 0.848
```

---

## Nd2Ge3PdRh4 (GGA-PBE)

Data for a relaxed Nd2Ge3PdRh4 crystal.

Summary:
- symmetry = P-4m2
- energy relative to the elements (eV/atom) = -0.788

Structure (CIF):
```
data_Nd2Ge3PdRh4
_chemical_formula_sum 'Nd2 Ge3 Pd1 Rh4'
_symmetry_space_group_name_H-M 'P 1'
_symmetry_Int_Tables_number 1
_cell_length_a 4.193
_cell_length_b 4.193
_cell_length_c 10.581
_cell_angle_alpha 90.00
_cell_angle_beta 90.00
_cell_angle_gamma 90.00
loop_
_symmetry_equiv_pos_as_xyz
'x,y,z'
loop_
_atom_site_label
_atom_site_type_symbol
_atom_site_fract_x
_atom_site_fract_y
_atom_site_fract_z
Nd1 Nd 0.500 0.000 0.254
Nd2 Nd 0.000 0.500 0.746
Ge1 Ge 0.000 0.000 0.500
Ge2 Ge 0.500 0.000 0.875
Ge3 Ge 0.000 0.500 0.125
Pd1 Pd 0.500 0.500 0.500
Rh1 Rh 0.500 0.500 0.000
Rh2 Rh 0.000 0.000 0.000
Rh3 Rh 0.500 0.000 0.647
Rh4 Rh 0.000 0.500 0.353
```

---

no.,uncorrected energy (Ry/atom)
1,-0.5965
2,-0.4189
3,-0.3097
4,-0.3764
5,-0.2919
6,-0.3846
7,-0.5167
8,-0.2327
9,-0.3303
10,-0.4841